(1)
# LiTiCo2

A relaxed LiTiCo2 crystal (GGA-PBE, the Alexandria database).

Computed properties:
Raw total energy (eV for the cell shown): -45.81
SG: No. 122
Calculated volume (Å³ per cell): 101.7
Formation enthalpy at 0 K (kJ/mol of formula units): 107.7

a b c (Å): 6.3153 6.3153 5.1418
angles (deg): 52.11 52.11 90.00
Last column: nearest neighbours and their distance in Å.
Element x y z (fractional)
Li: 0.5000 0.5000 0.0000  4 Co 2.32, 2 Ti 2.55
Li: 0.2500 0.7500 0.5000  4 Co 2.32, 2 Ti 2.55
Co: 0.6254 0.1250 0.2500  2 Ti 2.32, 2 Li 2.32, 2 Co 2.55
Co: 0.1246 0.6250 0.2500  2 Ti 2.32, 2 Li 2.32, 2 Co 2.55
Co: 0.3750 0.3746 0.7500  2 Ti 2.32, 2 Li 2.32, 2 Co 2.55
Co: 0.8750 0.8754 0.7500  2 Ti 2.32, 2 Li 2.32, 2 Co 2.55
Ti: 0.0000 0.0000 0.0000  4 Co 2.32, 2 Li 2.55
Ti: 0.7500 0.2500 0.5000  4 Co 2.32, 2 Li 2.55

***

(2)
# LaDyZnPt

A relaxed LaDyZnPt crystal (GGA-PBE, the Alexandria database).

Computed properties:
Raw total energy (eV for the cell shown): -19.85
SG: No. 38
Calculated volume (Å³ per cell): 98.4
Formation enthalpy at 0 K (kJ/mol of formula units): -290.4

a b c (Å): 3.9621 4.5253 5.8324
angles (deg): 90.00 109.86 90.00
Last column: nearest neighbours and their distance in Å.
Element x y z (fractional)
La: 0.1435 0.0000 0.2869  3 Pt 3.07-3.12, 4 Zn 3.11
Dy: 0.8622 0.5000 0.7244  3 Zn 3.03-3.20, 4 Pt 3.08
Zn: 0.5707 0.5000 0.1415  2 Pt 2.78, 2 Dy 3.03, 4 La 3.11
Pt: 0.4236 0.0000 0.8472  2 Zn 2.78, 1 La 3.07, 4 Dy 3.08

***

(3)
# PuPt2Au

A relaxed PuPt2Au crystal (GGA-PBE, the Alexandria database).

Computed properties:
Raw total energy (eV for the cell shown): -62.51
SG: No. 63
Calculated volume (Å³ per cell): 161.8
Formation enthalpy at 0 K (kJ/mol of formula units): -150.8

a b c (Å): 3.7878 6.6553 6.6942
angles (deg): 90.00 90.00 106.53
Last column: nearest neighbours and their distance in Å.
Element x y z (fractional)
Pu: 0.2379 0.4758 0.2500  6 Pt 2.85-2.89
Pu: 0.7621 0.5242 0.7500  6 Pt 2.85-2.89
Pt: 0.3968 0.7936 0.9509  2 Pt 2.69-2.71, 2 Au 2.85, 3 Pu 2.85-2.89
Pt: 0.6032 0.2064 0.0491  2 Pt 2.69-2.71, 2 Au 2.85, 3 Pu 2.85-2.89
Pt: 0.6032 0.2064 0.4509  2 Pt 2.69-2.71, 2 Au 2.85, 3 Pu 2.85-2.89
Pt: 0.3968 0.7936 0.5491  2 Pt 2.69-2.71, 2 Au 2.85, 3 Pu 2.85-2.89
Au: 0.9522 0.9045 0.2500  8 Pt 2.85-3.02
Au: 0.0478 0.0955 0.7500  8 Pt 2.85-3.02